No. 1
A geometry-optimized Cd2SiPt structure. Source: Alexandria, functional PBE-GGA.

Lattice parameters (Å, degrees): 4.2282 3.7523 5.3224 90.00 110.75 90.00
Fractional coordinates of all 4 atoms:
Cd (0.0000, 0.0000, 0.0000)
Cd (0.2861, 0.5000, 0.6058)
Si (0.5676, 0.5000, 0.1493)
Pt (0.7106, 0.0000, 0.4310)

Summary:
Total energy   -3.48 eV/atom
Magnetization   0.00 μB/cell
Formation energy without anion corrections   -0.16 eV/atom
ρ   9.4 Mg/m³
Crystal system   monoclinic

No. 2
A geometry-optimized CdSi2Pt structure. Source: Alexandria, functional PBE-GGA.

Lattice parameters (Å, degrees): 4.1422 4.1422 6.9616 110.33 110.33 45.10
Fractional coordinates of all 4 atoms:
Cd (0.0000, 0.0000, 0.0000)
Si (0.2634, 0.2634, 0.6666)
Si (0.7366, 0.7366, 0.3334)
Pt (0.5000, 0.5000, 0.5000)

Summary:
Total energy   -4.54 eV/atom
Magnetization   0.00 μB/cell
Formation energy without anion corrections   -0.09 eV/atom
ρ   7.7 Mg/m³
Crystal system   monoclinic

No. 3
A geometry-optimized CdSi2Pt2 structure. Source: Alexandria, functional PBE-GGA.

Lattice parameters (Å, degrees): 7.7507 7.7507 2.7316 90.00 90.00 90.00
Fractional coordinates of all 10 atoms:
Cd (0.0000, 0.0000, 0.0000)
Cd (0.5000, 0.5000, 0.0000)
Si (0.1280, 0.3720, 0.0000)
Si (0.3720, 0.8720, 0.0000)
Si (0.6280, 0.1280, 0.0000)
Si (0.8720, 0.6280, 0.0000)
Pt (0.1644, 0.6644, 0.5000)
Pt (0.3356, 0.1644, 0.5000)
Pt (0.6644, 0.8356, 0.5000)
Pt (0.8356, 0.3356, 0.5000)

Summary:
Total energy   -4.94 eV/atom
Magnetization   0.00 μB/cell
Formation energy without anion corrections   -0.17 eV/atom
ρ   11.3 Mg/m³
Crystal system   tetragonal

No. 4
A geometry-optimized CdSi2Pt structure. Source: Alexandria, functional PBE-GGA.

Lattice parameters (Å, degrees): 2.8116 3.3212 7.5431 90.00 90.00 90.00
Fractional coordinates of all 4 atoms:
Cd (0.0000, 0.0000, 0.0000)
Si (0.5000, 0.5000, 0.2984)
Si (0.5000, 0.5000, 0.7016)
Pt (0.0000, 0.0000, 0.5000)

Summary:
Total energy   -4.42 eV/atom
Magnetization   0.00 μB/cell
Formation energy without anion corrections   0.04 eV/atom
ρ   8.6 Mg/m³
Crystal system   orthorhombic

Question: Among the records above, which one has the lowest ρ?
Answer: number 2

Question: The highest ρ belongs to which entry?
Answer: CdSi2Pt2